<one>
MgSbNF2 after structural relaxation, computed with PBE.

a b c (Å): 4.194 4.194 4.491
angles (deg): 90.00 90.00 90.00
Space group P4/mmm (No. 123)
Symmetry-distinct sites (fractional):
Mg 0.000 0.000 0.000 (multiplicity 1)
Sb 0.500 0.500 0.000 (multiplicity 1)
N 0.500 0.500 0.500 (multiplicity 1)
F 0.000 0.500 0.500 (multiplicity 2)

V = 79.0 Å³ per cell


<two>
MgSbNF2 after structural relaxation, computed with PBE.

a b c (Å): 4.405 4.405 4.398
angles (deg): 90.00 90.00 90.00
Space group P4/mmm (No. 123)
Symmetry-distinct sites (fractional):
Mg 0.000 0.000 0.000 (multiplicity 1)
Sb 0.500 0.500 0.500 (multiplicity 1)
N 0.500 0.500 0.000 (multiplicity 1)
F 0.000 0.500 0.500 (multiplicity 2)

V = 85.3 Å³ per cell


Which of them is least stable? Easy: <one>.


<one>
MgScNF2 after structural relaxation, computed with PBE.

a b c (Å): 3.590 3.590 4.627
angles (deg): 90.00 90.00 90.00
Space group P4/mmm (No. 123)
Symmetry-distinct sites (fractional):
Mg 0.000 0.000 0.000 (multiplicity 1)
Sc 0.500 0.500 0.500 (multiplicity 1)
N 0.000 0.000 0.500 (multiplicity 1)
F 0.000 0.500 0.000 (multiplicity 2)

V = 59.6 Å³ per cell


<two>
MgScNF2 after structural relaxation, computed with PBE.

a b c (Å): 3.988 3.988 4.368
angles (deg): 90.00 90.00 90.00
Space group P4/mmm (No. 123)
Symmetry-distinct sites (fractional):
Mg 0.000 0.000 0.000 (multiplicity 1)
Sc 0.500 0.500 0.500 (multiplicity 1)
N 0.500 0.500 0.000 (multiplicity 1)
F 0.000 0.500 0.500 (multiplicity 2)

V = 69.5 Å³ per cell


Which of them is least stable? Easy: <two>.


<one>
MgSe2NF after structural relaxation, computed with PBE.

a b c (Å): 5.054 5.054 4.054
angles (deg): 90.00 90.00 90.00
Space group P4/mmm (No. 123)
Symmetry-distinct sites (fractional):
Mg 0.000 0.000 0.000 (multiplicity 1)
Se 0.000 0.500 0.000 (multiplicity 2)
N 0.000 0.000 0.500 (multiplicity 1)
F 0.500 0.500 0.500 (multiplicity 1)

V = 103.6 Å³ per cell


<two>
MgSe2NF after structural relaxation, computed with PBE.

a b c (Å): 4.628 4.628 4.127
angles (deg): 90.00 90.00 90.00
Space group P4/mmm (No. 123)
Symmetry-distinct sites (fractional):
Mg 0.000 0.000 0.000 (multiplicity 1)
Se 0.000 0.500 0.500 (multiplicity 2)
N 0.500 0.500 0.000 (multiplicity 1)
F 0.500 0.500 0.500 (multiplicity 1)

V = 88.4 Å³ per cell


Which of them is least stable? Easy: <two>.


<one>
MgSiNF2 after structural relaxation, computed with PBE.

a b c (Å): 4.286 4.286 3.271
angles (deg): 90.00 90.00 90.00
Space group P4/mmm (No. 123)
Symmetry-distinct sites (fractional):
Mg 0.000 0.000 0.000 (multiplicity 1)
Si 0.500 0.500 0.500 (multiplicity 1)
N 0.500 0.500 0.000 (multiplicity 1)
F 0.000 0.500 0.500 (multiplicity 2)

V = 60.1 Å³ per cell


<two>
MgSiNF2 after structural relaxation, computed with PBE.

a b c (Å): 3.602 3.602 4.770
angles (deg): 90.00 90.00 90.00
Space group P4/mmm (No. 123)
Symmetry-distinct sites (fractional):
Mg 0.000 0.000 0.000 (multiplicity 1)
Si 0.500 0.500 0.500 (multiplicity 1)
N 0.000 0.000 0.500 (multiplicity 1)
F 0.000 0.500 0.000 (multiplicity 2)

V = 61.9 Å³ per cell


Which of them is least stable? Easy: <two>.


<one>
MgTeN2F after structural relaxation, computed with PBE.

a b c (Å): 4.151 4.151 4.198
angles (deg): 90.00 90.00 90.00
Space group P4/mmm (No. 123)
Symmetry-distinct sites (fractional):
Mg 0.000 0.000 0.000 (multiplicity 1)
Te 0.500 0.500 0.500 (multiplicity 1)
N 0.000 0.500 0.500 (multiplicity 2)
F 0.500 0.500 0.000 (multiplicity 1)

V = 72.3 Å³ per cell


<two>
MgTeN2F after structural relaxation, computed with PBE.

a b c (Å): 4.024 4.024 6.197
angles (deg): 90.00 90.00 90.00
Space group P4/mmm (No. 123)
Symmetry-distinct sites (fractional):
Mg 0.000 0.000 0.000 (multiplicity 1)
Te 0.000 0.000 0.500 (multiplicity 1)
N 0.000 0.500 0.000 (multiplicity 2)
F 0.500 0.500 0.500 (multiplicity 1)

V = 100.4 Å³ per cell


<three>
MgTeN2F after structural relaxation, computed with PBE.

a b c (Å): 4.553 4.553 4.147
angles (deg): 90.00 90.00 90.00
Space group P4/mmm (No. 123)
Symmetry-distinct sites (fractional):
Mg 0.000 0.000 0.000 (multiplicity 1)
Te 0.500 0.500 0.000 (multiplicity 1)
N 0.000 0.500 0.500 (multiplicity 2)
F 0.500 0.500 0.500 (multiplicity 1)

V = 86.0 Å³ per cell


<four>
MgTeN2F after structural relaxation, computed with PBE.

a b c (Å): 4.186 4.186 3.646
angles (deg): 90.00 90.00 90.00
Space group P4/mmm (No. 123)
Symmetry-distinct sites (fractional):
Mg 0.000 0.000 0.000 (multiplicity 1)
Te 0.500 0.500 0.500 (multiplicity 1)
N 0.000 0.500 0.000 (multiplicity 2)
F 0.000 0.000 0.500 (multiplicity 1)

V = 63.9 Å³ per cell


Which of them is least stable? Easy: <three>.